Entry 1:
The following is a PBE-GGA calculation of crystalline Sr3CaC at its relaxed geometry, from Alexandria via LeMat-Bulk.

Cell lengths 5.6821, 5.6821, 5.6821 Å; angles 90.00, 90.00, 90.00 degrees
Fractional coordinates of all 5 atoms:
Sr: 0.0000 0.0000 0.5000
Sr: 0.0000 0.5000 0.0000
Sr: 0.5000 0.0000 0.0000
Ca: 0.5000 0.5000 0.5000
C: 0.0000 0.0000 0.0000

Results
Relative energy among the computed polymorphs   0.0 meV per atom
Size of the total moment   1.949 μB per formula unit
VASP energy   -2.875 eV/atom

Entry 2:
The following is a PBE-GGA calculation of crystalline TbSmSi4 at its relaxed geometry, from Alexandria via LeMat-Bulk.

Cell lengths 7.8439, 7.8439, 7.8439 Å; angles 150.27, 150.27, 42.55 degrees
Fractional coordinates of all 6 atoms:
Tb: 0.0000 0.0000 0.0000
Sm: 0.2500 0.7500 0.5000
Si: 0.4186 0.4186 0.0000
Si: 0.5814 0.5814 0.0000
Si: 0.6665 0.1665 0.5000
Si: 0.8335 0.3335 0.5000

Results
Relative energy among the computed polymorphs   0.0 meV per atom
Uncorrected formation energy   -0.57 eV/atom
Size of the total moment   0.000 μB per formula unit
VASP energy   -5.743 eV/atom

Entry 3:
The following is a PBE-GGA calculation of crystalline CeMg3Hg4 at its relaxed geometry, from Alexandria via LeMat-Bulk.

Cell lengths 9.3042, 9.3042, 9.3042 Å; angles 30.66, 30.66, 30.66 degrees
Fractional coordinates of all 8 atoms:
Ce: 0.0000 0.0000 0.0000
Mg: 0.2456 0.2456 0.2456
Mg: 0.5000 0.5000 0.5000
Mg: 0.7544 0.7544 0.7544
Hg: 0.1267 0.1267 0.1267
Hg: 0.3858 0.3858 0.3858
Hg: 0.6142 0.6142 0.6142
Hg: 0.8733 0.8733 0.8733

Results
Size of the total moment   0.974 μB per formula unit
VASP energy   -1.779 eV/atom